This record from the Alexandria database describes crystalline Ac2NpFeO8 at its relaxed geometry. The functional is PBE with a Hubbard U.

calculated volume = 15.6 A^3/atom
total DFT energy (no corrections) = -8.1666 eV per atom

abc: 4.548 5.469 7.791
angles: 79.14 84.10 80.44
Fractional coordinates of all 12 atoms:
1 Ac 0.053 0.066 0.232
2 Ac 0.947 0.934 0.768
3 Np 0.500 0.500 0.500
4 Fe 0.500 0.500 0.000
5 O 0.105 0.714 0.508
6 O 0.195 0.757 0.037
7 O 0.396 0.213 0.663
8 O 0.476 0.346 0.246
9 O 0.524 0.654 0.754
10 O 0.604 0.787 0.337
11 O 0.805 0.243 0.963
12 O 0.895 0.286 0.492



This record from the Alexandria database describes crystalline Ac2Fe3O10 at its relaxed geometry. The functional is PBE with a Hubbard U.

D(E_F) = 0.3376 states/eV per atom
calculated volume = 12.3 A^3/atom
total DFT energy (no corrections) = -6.7156 eV per atom

abc: 9.278 9.278 7.862
angles: 110.58 110.58 35.77
Fractional coordinates of all 30 atoms:
1 Ac 0.115 0.115 0.222
2 Ac 0.211 0.211 0.800
3 Ac 0.789 0.789 0.200
4 Ac 0.885 0.885 0.778
5 Fe 0.249 0.751 0.500
6 Fe 0.324 0.324 0.492
7 Fe 0.423 0.423 0.041
8 Fe 0.577 0.577 0.959
9 Fe 0.676 0.676 0.508
10 Fe 0.751 0.249 0.500
11 O 0.000 0.500 0.500
12 O 0.025 0.025 0.674
13 O 0.113 0.586 0.021
14 O 0.129 0.652 0.487
15 O 0.267 0.267 0.242
16 O 0.279 0.721 0.000
17 O 0.348 0.871 0.513
18 O 0.358 0.358 0.748
19 O 0.414 0.887 0.979
20 O 0.475 0.475 0.323
21 O 0.500 0.000 0.500
22 O 0.525 0.525 0.677
23 O 0.586 0.113 0.021
24 O 0.642 0.642 0.252
25 O 0.652 0.129 0.487
26 O 0.721 0.279 0.000
27 O 0.733 0.733 0.758
28 O 0.871 0.348 0.513
29 O 0.887 0.414 0.979
30 O 0.975 0.975 0.326



This record from the Alexandria database describes crystalline AcFe2O6 at its relaxed geometry. The functional is PBE with a Hubbard U.

D(E_F) = 0.1601 states/eV per atom
calculated volume = 12.0 A^3/atom
total DFT energy (no corrections) = -6.3517 eV per atom

abc: 6.741 6.741 6.741
angles: 60.00 60.00 60.00
Fractional coordinates of all 18 atoms:
1 Ac 0.125 0.125 0.125
2 Ac 0.875 0.875 0.875
3 Fe 0.000 0.500 0.500
4 Fe 0.500 0.000 0.500
5 Fe 0.500 0.500 0.000
6 Fe 0.500 0.500 0.500
7 O 0.160 0.160 0.590
8 O 0.160 0.590 0.160
9 O 0.160 0.590 0.590
10 O 0.410 0.410 0.840
11 O 0.410 0.840 0.410
12 O 0.410 0.840 0.840
13 O 0.590 0.160 0.160
14 O 0.590 0.160 0.590
15 O 0.590 0.590 0.160
16 O 0.840 0.410 0.410
17 O 0.840 0.410 0.840
18 O 0.840 0.840 0.410



This record from the Alexandria database describes crystalline AcFe2O4 at its relaxed geometry. The functional is PBE with a Hubbard U.

D(E_F) = 0.0000 states/eV per atom
calculated volume = 14.3 A^3/atom
total DFT energy (no corrections) = -7.1131 eV per atom

abc: 6.080 6.094 6.727
angles: 107.16 107.42 110.02
Fractional coordinates of all 14 atoms:
1 Ac 0.000 0.000 0.000
2 Ac 0.264 0.763 0.499
3 Fe 0.221 0.445 0.825
4 Fe 0.620 0.396 0.173
5 Fe 0.658 0.375 0.683
6 Fe 0.691 0.973 0.314
7 O 0.039 0.639 0.751
8 O 0.364 0.562 0.164
9 O 0.399 0.200 0.834
10 O 0.452 0.164 0.314
11 O 0.508 0.627 0.754
12 O 0.849 0.138 0.687
13 O 0.873 0.752 0.245
14 O 0.889 0.289 0.248



This record from the Alexandria database describes crystalline Ac3FeO6 at its relaxed geometry. The functional is PBE with a Hubbard U.

D(E_F) = 0.0000 states/eV per atom
calculated volume = 17.7 A^3/atom
total DFT energy (no corrections) = -7.7001 eV per atom

abc: 7.854 7.854 5.901
angles: 90.00 90.00 102.96
Fractional coordinates of all 20 atoms:
1 Ac 0.106 0.894 0.500
2 Ac 0.198 0.414 0.534
3 Ac 0.414 0.198 0.034
4 Ac 0.586 0.802 0.534
5 Ac 0.802 0.586 0.034
6 Ac 0.894 0.106 0.000
7 Fe 0.308 0.692 0.072
8 Fe 0.692 0.308 0.572
9 O 0.091 0.610 0.233
10 O 0.148 0.169 0.270
11 O 0.169 0.148 0.770
12 O 0.287 0.713 0.750
13 O 0.390 0.909 0.233
14 O 0.452 0.548 0.198
15 O 0.548 0.452 0.698
16 O 0.610 0.091 0.733
17 O 0.713 0.287 0.250
18 O 0.831 0.852 0.270
19 O 0.852 0.831 0.770
20 O 0.909 0.390 0.733



This record from the Alexandria database describes crystalline Ac2FeO6 at its relaxed geometry. The functional is PBE with a Hubbard U.

D(E_F) = 0.4641 states/eV per atom
calculated volume = 14.7 A^3/atom
total DFT energy (no corrections) = -6.9190 eV per atom

abc: 6.509 6.509 6.509
angles: 141.44 128.53 66.12
Fractional coordinates of all 9 atoms:
1 Ac 0.172 0.172 0.000
2 Ac 0.828 0.828 0.000
3 Fe 0.500 0.500 0.000
4 O 0.118 0.357 0.760
5 O 0.374 0.000 0.374
6 O 0.403 0.643 0.760
7 O 0.597 0.357 0.240
8 O 0.626 0.000 0.626
9 O 0.882 0.643 0.240



This record from the Alexandria database describes crystalline Ac3Fe5O12 at its relaxed geometry. The functional is PBE with a Hubbard U.

D(E_F) = 0.3516 states/eV per atom
calculated volume = 14.2 A^3/atom
total DFT energy (no corrections) = -7.0957 eV per atom

abc: 11.386 11.386 11.386
angles: 109.47 109.47 109.47
Fractional coordinates of all 80 atoms:
1 Ac 0.125 0.250 0.375
2 Ac 0.125 0.375 0.750
3 Ac 0.250 0.375 0.125
4 Ac 0.250 0.875 0.625
5 Ac 0.375 0.125 0.250
6 Ac 0.375 0.750 0.125
7 Ac 0.625 0.250 0.875
8 Ac 0.625 0.875 0.750
9 Ac 0.750 0.125 0.375
10 Ac 0.750 0.625 0.875
11 Ac 0.875 0.625 0.250
12 Ac 0.875 0.750 0.625
13 Fe 0.000 0.000 0.000
14 Fe 0.000 0.000 0.500
15 Fe 0.000 0.500 0.000
16 Fe 0.000 0.500 0.500
17 Fe 0.125 0.750 0.875
18 Fe 0.125 0.875 0.250
19 Fe 0.250 0.125 0.875
20 Fe 0.250 0.625 0.375
21 Fe 0.375 0.250 0.625
22 Fe 0.375 0.625 0.750
23 Fe 0.500 0.000 0.000
24 Fe 0.500 0.000 0.500
25 Fe 0.500 0.500 0.000
26 Fe 0.500 0.500 0.500
27 Fe 0.625 0.375 0.250
28 Fe 0.625 0.750 0.375
29 Fe 0.750 0.375 0.625
30 Fe 0.750 0.875 0.125
31 Fe 0.875 0.125 0.750
32 Fe 0.875 0.250 0.125
33 O 0.017 0.200 0.118
34 O 0.017 0.317 0.899
35 O 0.081 0.700 0.683
36 O 0.081 0.882 0.399
37 O 0.101 0.618 0.419
38 O 0.101 0.983 0.683
39 O 0.118 0.017 0.200
40 O 0.118 0.601 0.919
41 O 0.183 0.200 0.581
42 O 0.183 0.483 0.601
43 O 0.200 0.118 0.017
44 O 0.200 0.581 0.183
45 O 0.300 0.317 0.919
46 O 0.300 0.483 0.382
47 O 0.317 0.899 0.017
48 O 0.317 0.919 0.300
49 O 0.382 0.300 0.483
50 O 0.382 0.581 0.899
51 O 0.399 0.081 0.882
52 O 0.399 0.817 0.517
53 O 0.419 0.101 0.618
54 O 0.419 0.817 0.800
55 O 0.483 0.382 0.300
56 O 0.483 0.601 0.183
57 O 0.517 0.399 0.817
58 O 0.517 0.618 0.700
59 O 0.581 0.183 0.200
60 O 0.581 0.899 0.382
61 O 0.601 0.183 0.483
62 O 0.601 0.919 0.118
63 O 0.618 0.419 0.101
64 O 0.618 0.700 0.517
65 O 0.683 0.081 0.700
66 O 0.683 0.101 0.983
67 O 0.700 0.517 0.618
68 O 0.700 0.683 0.081
69 O 0.800 0.419 0.817
70 O 0.800 0.882 0.983
71 O 0.817 0.517 0.399
72 O 0.817 0.800 0.419
73 O 0.882 0.399 0.081
74 O 0.882 0.983 0.800
75 O 0.899 0.017 0.317
76 O 0.899 0.382 0.581
77 O 0.919 0.118 0.601
78 O 0.919 0.300 0.317
79 O 0.983 0.683 0.101
80 O 0.983 0.800 0.882



This record from the Alexandria database describes crystalline Ac2FeO5 at its relaxed geometry. The functional is PBE with a Hubbard U.

offset from the most stable computed form = 0.00 kcal/mol of atoms
D(E_F) = 0.7227 states/eV per atom
calculated volume = 16.8 A^3/atom

abc: 11.391 4.086 11.566
angles: 90.00 90.00 90.00
Fractional coordinates of all 32 atoms:
1 Ac 0.078 0.250 0.210
2 Ac 0.138 0.250 0.565
3 Ac 0.362 0.750 0.065
4 Ac 0.422 0.750 0.710
5 Ac 0.578 0.250 0.290
6 Ac 0.638 0.250 0.935
7 Ac 0.862 0.750 0.435
8 Ac 0.922 0.750 0.790
9 Fe 0.206 0.250 0.867
10 Fe 0.294 0.750 0.367
11 Fe 0.706 0.250 0.633
12 Fe 0.794 0.750 0.133
13 O 0.013 0.750 0.598
14 O 0.053 0.250 0.809
15 O 0.206 0.750 0.229
16 O 0.219 0.250 0.028
17 O 0.245 0.750 0.870
18 O 0.255 0.250 0.370
19 O 0.281 0.750 0.528
20 O 0.294 0.250 0.729
21 O 0.447 0.750 0.309
22 O 0.487 0.250 0.098
23 O 0.513 0.750 0.902
24 O 0.553 0.250 0.691
25 O 0.706 0.750 0.271
26 O 0.719 0.250 0.472
27 O 0.745 0.750 0.630
28 O 0.755 0.250 0.130
29 O 0.781 0.750 0.972
30 O 0.794 0.250 0.771
31 O 0.947 0.750 0.191
32 O 0.987 0.250 0.402



This record from the Alexandria database describes crystalline Ac4Fe3O10 at its relaxed geometry. The functional is PBE with a Hubbard U.

D(E_F) = 0.1131 states/eV per atom
calculated volume = 13.8 A^3/atom
total DFT energy (no corrections) = -7.3098 eV per atom

abc: 14.854 14.854 14.854
angles: 164.47 164.47 22.03
Fractional coordinates of all 17 atoms:
1 Ac 0.066 0.066 0.000
2 Ac 0.199 0.199 0.000
3 Ac 0.801 0.801 0.000
4 Ac 0.934 0.934 0.000
5 Fe 0.362 0.362 0.000
6 Fe 0.500 0.500 0.000
7 Fe 0.638 0.638 0.000
8 O 0.000 0.500 0.500
9 O 0.141 0.641 0.500
10 O 0.284 0.284 0.000
11 O 0.359 0.859 0.500
12 O 0.431 0.431 0.000
13 O 0.500 0.000 0.500
14 O 0.569 0.569 0.000
15 O 0.641 0.141 0.500
16 O 0.716 0.716 0.000
17 O 0.859 0.359 0.500



This record from the Alexandria database describes crystalline Ac2Fe3O8 at its relaxed geometry. The functional is PBE with a Hubbard U.

D(E_F) = 0.1115 states/eV per atom
calculated volume = 14.9 A^3/atom
total DFT energy (no corrections) = -7.0403 eV per atom

abc: 3.928 3.928 12.596
angles: 90.00 90.00 90.00
Fractional coordinates of all 13 atoms:
1 Ac 0.000 0.000 0.170
2 Ac 0.000 0.000 0.830
3 Fe 0.500 0.500 0.000
4 Fe 0.500 0.500 0.318
5 Fe 0.500 0.500 0.682
6 O 0.000 0.500 0.000
7 O 0.000 0.500 0.313
8 O 0.000 0.500 0.687
9 O 0.500 0.000 0.000
10 O 0.500 0.000 0.313
11 O 0.500 0.000 0.687
12 O 0.500 0.500 0.159
13 O 0.500 0.500 0.841



This record from the Alexandria database describes crystalline Ac2FeO5 at its relaxed geometry. The functional is PBE with a Hubbard U.

offset from the most stable computed form = 4.14 kcal/mol of atoms
calculated volume = 15.6 A^3/atom

abc: 5.548 5.548 5.548
angles: 117.38 117.38 94.61
Fractional coordinates of all 8 atoms:
1 Ac 0.000 0.500 0.500
2 Ac 0.500 0.000 0.500
3 Fe 0.244 0.244 0.000
4 O 0.430 0.430 0.455
5 O 0.430 0.975 0.000
6 O 0.487 0.487 0.000
7 O 0.975 0.430 0.000
8 O 0.975 0.975 0.545



This record from the Alexandria database describes crystalline Ac3Fe2O7 at its relaxed geometry. The functional is PBE with a Hubbard U.

D(E_F) = 0.1777 states/eV per atom
calculated volume = 14.7 A^3/atom
total DFT energy (no corrections) = -7.3142 eV per atom

abc: 11.500 11.500 3.872
angles: 90.00 90.00 159.92
Fractional coordinates of all 12 atoms:
1 Ac 0.000 0.000 0.000
2 Ac 0.172 0.828 0.000
3 Ac 0.828 0.172 0.000
4 Fe 0.407 0.593 0.500
5 Fe 0.593 0.407 0.500
6 O 0.093 0.907 0.500
7 O 0.307 0.693 0.500
8 O 0.403 0.597 0.000
9 O 0.500 0.500 0.500
10 O 0.597 0.403 0.000
11 O 0.693 0.307 0.500
12 O 0.907 0.093 0.500



no.,magnetic moment (μB/cell)
1,2.97
2,19.92
3,5.96
4,18.05
5,9.97
6,3.97
7,83.67
8,15.84
9,8.66
10,14.00
11,4.00
12,9.00